No. 1
Sc2BeP: relaxed, GGA-PBEsol.

## Properties
The space group is I-4m2, No. 119. The density of states at the Fermi level is 0.731 states/eV per atom. The calculated formation energy comes out at -0.497 eV/atom. For the total magnetic moment, the calculation gives 0.000 μB per formula unit. As for the total energy: -6.25 eV per atom. The calculation puts the energy relative to the lowest polymorph listed for this composition at 389.7 meV/atom. As for the crystal system: tetragonal.

Cell and atoms, written as POSCAR:
```
Sc2BeP
1.0
-0.901 2.425 -2.668
-3.081 0.910 1.868
4.354 1.696 2.659
Be Sc P
1 2 1
Direct
0.500 0.500 0.000
0.750 0.250 0.500
0.000 0.000 0.000
0.250 0.750 0.500
```

---

No. 2
KBaSi: relaxed, GGA-PBEsol.

## Properties
The space group is I4mm, No. 107. The density of states at the Fermi level is 0.684 states/eV per atom. For the total magnetic moment, the calculation gives 0.000 μB per formula unit. The uncorrected formation energy comes out at 30 kJ/mol of formula units. As for the total energy: -2.91 eV per atom. As for the crystal system: tetragonal.

Cell and atoms, written as POSCAR:
```
KBaSi
1.0
-0.482 1.161 -3.791
0.213 -3.806 -1.192
-7.416 0.663 3.250
Si Ba K
1 1 1
Direct
0.339 0.339 0.678
0.951 0.951 0.903
0.709 0.709 0.419
```

---

No. 3
CdInNi2: relaxed, GGA-PBEsol.

## Properties
The space group is I-4m2, No. 119. The density of states at the Fermi level is 0.597 states/eV per atom. The calculated formation energy comes out at 0.037 eV/atom. For the total magnetic moment, the calculation gives 0.000 μB per formula unit. As for the total energy: -4.09 eV per atom. As for the crystal system: tetragonal.

Cell and atoms, written as POSCAR:
```
CdInNi2
1.0
3.757 0.000 0.000
0.000 3.757 0.000
-1.878 -1.878 4.198
In Cd Ni
1 1 2
Direct
0.250 0.750 0.500
0.500 0.500 0.000
0.000 0.000 0.000
0.750 0.250 0.500
```

---

No. 4
Ta4AlAs: relaxed, GGA-PBEsol.

## Properties
The space group is F-43m, No. 216. The density of states at the Fermi level is 0.786 states/eV per atom. The calculated formation energy comes out at 0.468 eV/atom. For the total magnetic moment, the calculation gives 0.000 μB per formula unit. As for the total energy: -9.43 eV per atom. As for the crystal system: cubic.

Cell and atoms, written as POSCAR:
```
Ta4AlAs
1.0
5.403 0.000 0.000
2.701 4.679 0.000
2.701 1.560 4.411
Ta Al As
4 1 1
Direct
0.872 0.376 0.376
0.376 0.376 0.872
0.376 0.872 0.376
0.376 0.376 0.376
0.750 0.750 0.750
0.000 0.000 0.000
```

---

No. 5
NaYMn2Cu: relaxed, GGA-PBEsol.

## Properties
The space group is P4/mmm, No. 123. The density of states at the Fermi level is 1.537 states/eV per atom. The calculated formation energy comes out at 1.757 eV/atom. For the total magnetic moment, the calculation gives 7.192 μB per formula unit. As for the total energy: -4.66 eV per atom. As for the crystal system: tetragonal.

Cell and atoms, written as POSCAR:
```
NaYMn2Cu
1.0
-2.002 -0.777 -4.131
3.237 -3.204 -0.966
-3.005 -3.683 2.149
Mn Na Cu Y
2 1 1 1
Direct
0.500 0.000 0.000
0.000 0.500 0.000
0.000 0.000 0.000
0.500 0.500 0.500
0.000 0.000 0.500
```

---

No. 6
Cd4Pt: relaxed, GGA-PBEsol.

## Properties
The space group is I4/m, No. 87. The density of states at the Fermi level is 0.264 states/eV per atom. The calculated formation energy comes out at -0.160 eV/atom. For the total magnetic moment, the calculation gives 0.000 μB per formula unit. As for the total energy: -2.51 eV per atom. As for the crystal system: tetragonal.

Cell and atoms, written as POSCAR:
```
Cd4Pt
1.0
4.172 0.000 0.000
2.086 4.696 0.000
2.086 0.000 4.696
Pt Cd
1 4
Direct
0.000 0.000 0.000
0.604 0.190 0.602
0.794 0.602 0.810
0.396 0.810 0.398
0.206 0.398 0.190
```

---

No. 7
Mg2Zn: relaxed, GGA-PBEsol.

## Properties
The space group is Fd-3m, No. 227. The density of states at the Fermi level is 0.396 states/eV per atom. The calculated formation energy comes out at -0.050 eV/atom. For the total magnetic moment, the calculation gives 0.000 μB per formula unit. As for the total energy: -1.72 eV per atom. As for the crystal system: cubic.

Cell and atoms, written as POSCAR:
```
Mg2Zn
1.0
-4.035 7.521 -1.565
-8.666 0.287 -0.331
-4.455 3.931 6.324
Zn Mg
8 16
Direct
0.412 0.412 0.763
0.412 0.763 0.412
0.838 0.487 0.838
0.763 0.412 0.412
0.412 0.412 0.412
0.838 0.838 0.487
0.838 0.838 0.838
0.487 0.838 0.838
0.059 0.441 0.441
0.625 0.625 0.125
0.059 0.441 0.059
0.441 0.441 0.059
0.125 0.625 0.625
0.809 0.191 0.809
0.191 0.191 0.809
0.191 0.809 0.191
0.441 0.059 0.059
0.625 0.625 0.625
0.441 0.059 0.441
0.809 0.191 0.191
0.191 0.809 0.809
0.059 0.059 0.441
0.625 0.125 0.625
0.809 0.809 0.191
```

---

No. 8
YBeMo2: relaxed, GGA-PBEsol.

## Properties
The space group is P2/m, No. 10. The density of states at the Fermi level is 0.787 states/eV per atom. The calculated formation energy comes out at 0.452 eV/atom. For the total magnetic moment, the calculation gives 0.000 μB per formula unit. As for the total energy: -8.14 eV per atom. As for the crystal system: monoclinic.

Cell and atoms, written as POSCAR:
```
YBeMo2
1.0
3.315 0.000 0.012
0.000 4.467 0.000
-0.847 0.000 4.644
Mo Be Y
2 1 1
Direct
0.172 0.000 0.301
0.828 0.000 0.699
0.000 0.500 0.500
0.500 0.500 0.000
```